{"formula": "TiMnPOsS", "functional": "PBE", "state": "relaxed", "lattice": [[4.8077, -1.4533, 0.0000], [4.8077, 1.4533, 0.0000], [-3.1113, 0.0000, 5.1282]], "species": ["Ti", "Mn", "P", "Os", "S"], "frac_coords": [[0.0000, 0.0000, 0.0000], [0.5016, 0.5016, 0.3981], [0.7707, 0.7707, 0.2248], [0.2652, 0.2652, 0.5271], [0.1085, 0.1085, 0.7111]], "formation_energy_uncorrected_ev_per_atom": -0.297, "total_energy_ev_per_atom": -7.86, "de_polymorph_mev_per_atom": 235, "m_tot_mub_per_cell": 0.00, "space_group": "Cm"}